[1]
A plane-wave DFT calculation with GGA-PBE was carried out for CsPS2I after structural relaxation.

Geometry as POSCAR:
```
CsPS2I
1.0
-4.705 2.148 2.087
1.619 -1.446 5.138
4.284 8.399 1.013
Cs I S P
1 1 2 1
Cartesian
0.000 0.000 0.000
0.599 4.551 4.119
0.810 -0.723 2.569
-2.352 1.074 1.044
2.142 4.199 0.507
```

The uncorrected formation energy comes out at 1403.2 meV/atom.

[2]
A plane-wave DFT calculation with GGA-PBE was carried out for CsPS2I after structural relaxation.

Geometry as POSCAR:
```
CsPS2I
1.0
-4.275 2.791 1.646
0.903 -1.591 5.042
3.165 4.369 0.812
Cs I S P
1 1 2 1
Cartesian
-0.104 2.784 3.750
0.000 0.000 0.000
0.451 -0.796 2.521
-2.137 1.396 0.823
1.583 2.184 0.406
```

The uncorrected formation energy comes out at 425.4 meV/atom.

[3]
A plane-wave DFT calculation with GGA-PBE was carried out for Cs2PSI6 after structural relaxation.

Geometry as POSCAR:
```
Cs2PSI6
1.0
-3.831 5.765 4.471
-6.628 -4.860 0.588
-3.119 -1.849 7.306
Cs I S P
2 6 1 1
Cartesian
-6.090 2.185 7.153
-7.488 -3.128 5.211
-4.185 -0.687 4.894
-9.393 -0.257 7.470
-2.715 0.235 1.313
-7.744 0.670 3.745
-4.557 3.007 3.463
-5.902 -2.102 1.596
0.000 0.000 0.000
-5.230 0.453 2.529
```

The uncorrected formation energy comes out at -516.8 meV/atom.